{
  "formula": "CsNb3Cr",
  "functional": "GGA-PBE",
  "state": "relaxed",
  "e_tot_ev_per_atom": -6.664,
  "total_magnetization_mub_per_fu": 0.00,
  "formation_energy_ev_per_atom": 1.4736,
  "relative_energy_mev_per_atom": 0,
  "lattice": [[4.8704, 0.0000, 0.0000], [0.0000, 4.8704, 0.0000], [0.0000, 0.0000, 4.8704]],
  "species": ["Cs", "Cr", "Nb", "Nb", "Nb"],
  "fractional_positions": [[0.5000, 0.5000, 0.5000], [0.0000, 0.0000, 0.0000], [0.0000, 0.5000, 0.0000], [0.0000, 0.0000, 0.5000], [0.5000, 0.0000, 0.0000]]
}

{
  "formula": "CsNb3Cr",
  "functional": "GGA-PBE",
  "state": "relaxed",
  "e_tot_ev_per_atom": -5.307,
  "total_magnetization_mub_per_fu": 4.13,
  "formation_energy_ev_per_atom": 2.8298,
  "relative_energy_mev_per_atom": 1356,
  "lattice": [[5.0221, 0.0000, 0.0000], [0.0000, 5.0221, 0.0000], [0.0000, 0.0000, 5.0221]],
  "species": ["Cs", "Cr", "Nb", "Nb", "Nb"],
  "fractional_positions": [[0.0000, 0.0000, 0.0000], [0.5000, 0.5000, 0.5000], [0.0000, 0.5000, 0.0000], [0.0000, 0.0000, 0.5000], [0.5000, 0.0000, 0.0000]]
}